# 1
Entry from Alexandria: ThHgTe after structural relaxation (GGA-PBE).

Results
E above lowest polymorph: 141 meV per atom

```
data_ThHgTe
_chemical_formula_sum 'Th4 Hg4 Te4'
_cell_length_a 10.7919
_cell_length_b 3.9804
_cell_length_c 11.1201
_cell_angle_alpha 90.00
_cell_angle_beta 112.17
_cell_angle_gamma 90.00
_symmetry_space_group_name_H-M 'P 1 2/m 1'
_symmetry_Int_Tables_number 10
_symmetry_space_group_name_Hall '-P 2y'
loop_
_atom_site_label
_atom_site_fract_x
_atom_site_fract_y
_atom_site_fract_z
Th1 0.0838 0.0000 0.1679
Th2 0.3513 0.5000 0.5295
Hg1 0.0367 0.5000 0.3727
Hg2 0.1793 0.0000 0.6328
Te1 0.1669 0.5000 0.9804
Te2 0.4031 0.0000 0.3190
```

---

# 2
Entry from Alexandria: UPaSb2 after structural relaxation (GGA-PBE).

Results
E above lowest polymorph: 25 meV per atom

```
data_UPaSb2
_chemical_formula_sum 'U3 Pa3 Sb6'
_cell_length_a 4.3422
_cell_length_b 4.3422
_cell_length_c 21.6940
_cell_angle_alpha 90.00
_cell_angle_beta 90.00
_cell_angle_gamma 120.00
_symmetry_space_group_name_H-M 'R -3 m'
_symmetry_Int_Tables_number 166
_symmetry_space_group_name_Hall '-R 3 2"'
loop_
_atom_site_label
_atom_site_fract_x
_atom_site_fract_y
_atom_site_fract_z
U1 0.0000 0.0000 0.0000
Pa1 0.0000 0.0000 0.5000
Sb1 0.0000 0.0000 0.2497
```

---

Question: Which formula does entry 1 have?
Answer: ThHgTe